No. 1
# Li3PmPu2Se6

An optimized crystal structure of Li3PmPu2Se6 (PBE-GGA, Alexandria).

Uncorrected formation energy = -1.4826 eV/atom

a b c (Å): 7.181 12.434 6.893
angles (deg): 90.00 110.32 90.00
Space group C2/m (No. 12)
Symmetry-distinct sites (fractional):
Li 0.000 0.000 0.000 x2
Li 0.000 0.333 0.000 x4
Pm 0.000 0.500 0.500 x2
Pu 0.000 0.167 0.500 x4
Se 0.246 0.169 0.244 x8
Se 0.248 0.000 0.757 x4

***

No. 2
# LiPm2PuSe4

An optimized crystal structure of LiPm2PuSe4 (PBE-GGA, Alexandria).

Uncorrected formation energy = -1.6793 eV/atom

a b c (Å): 7.176 4.157 7.188
angles (deg): 90.00 109.78 90.00
Space group P2/m (No. 10)
Symmetry-distinct sites (fractional):
Li 0.000 0.000 0.000 x1
Pm 0.500 0.000 0.500 x1
Pm 0.500 0.500 0.000 x1
Pu 0.000 0.500 0.500 x1
Se 0.241 0.500 0.242 x2
Se 0.242 0.000 0.752 x2

***

No. 3
# LiPm2Pu3Se6

An optimized crystal structure of LiPm2Pu3Se6 (PBE-GGA, Alexandria).

Uncorrected formation energy = -1.6178 eV/atom

a b c (Å): 18.079 4.155 8.299
angles (deg): 90.00 103.16 90.00
Space group C2/m (No. 12)
Symmetry-distinct sites (fractional):
Li 0.000 0.000 0.000 x2
Pm 0.166 0.500 0.333 x4
Pu 0.000 0.000 0.500 x2
Pu 0.167 0.500 0.835 x4
Se 0.001 0.500 0.755 x4
Se 0.164 0.000 0.079 x4
Se 0.166 0.000 0.587 x4

***

No. 4
# LiPmPuSi

An optimized crystal structure of LiPmPuSi (PBE-GGA, Alexandria).

Uncorrected formation energy = -0.1524 eV/atom

a b c (Å): 7.162 7.162 7.162
angles (deg): 90.00 90.00 90.00
Space group F-43m (No. 216)
Symmetry-distinct sites (fractional):
Li 0.000 0.000 0.000 x4
Pm 0.250 0.250 0.250 x4
Pu 0.250 0.250 0.750 x4
Si 0.000 0.000 0.500 x4

***

No. 5
# LiPmPuTc

An optimized crystal structure of LiPmPuTc (PBE-GGA, Alexandria).

Formation enthalpy at 0 K = 0.163 eV per atom

a b c (Å): 7.005 7.005 7.005
angles (deg): 90.00 90.00 90.00
Space group F-43m (No. 216)
Symmetry-distinct sites (fractional):
Li 0.000 0.000 0.000 x4
Pm 0.250 0.250 0.250 x4
Pu 0.250 0.250 0.750 x4
Tc 0.000 0.000 0.500 x4

***

No. 6
# LiPm2PuTe4

An optimized crystal structure of LiPm2PuTe4 (PBE-GGA, Alexandria).

Uncorrected formation energy = -1.2825 eV/atom

a b c (Å): 7.674 4.424 7.683
angles (deg): 90.00 109.60 90.00
Space group P2/m (No. 10)
Symmetry-distinct sites (fractional):
Li 0.000 0.000 0.000 x1
Pm 0.000 0.500 0.500 x1
Pm 0.500 0.000 0.500 x1
Pu 0.500 0.500 0.000 x1
Te 0.240 0.500 0.240 x2
Te 0.247 0.000 0.757 x2

***

No. 7
# Li3Pm2PuTe6

An optimized crystal structure of Li3Pm2PuTe6 (PBE-GGA, Alexandria).

Uncorrected formation energy = -1.1915 eV/atom

a b c (Å): 7.675 13.287 7.502
angles (deg): 90.00 109.91 90.00
Space group C2/m (No. 12)
Symmetry-distinct sites (fractional):
Li 0.000 0.000 0.000 x2
Li 0.000 0.333 0.000 x4
Pm 0.000 0.167 0.500 x4
Pu 0.000 0.500 0.500 x2
Te 0.245 0.500 0.240 x4
Te 0.248 0.166 0.239 x8

***

No. 8
# LiPm3Pu2Te6

An optimized crystal structure of LiPm3Pu2Te6 (PBE-GGA, Alexandria).

Uncorrected formation energy = -1.2781 eV/atom

a b c (Å): 19.360 4.428 8.882
angles (deg): 90.00 103.62 90.00
Space group C2/m (No. 12)
Symmetry-distinct sites (fractional):
Li 0.000 0.000 0.000 x2
Pm 0.000 0.000 0.500 x2
Pm 0.169 0.500 0.832 x4
Pu 0.165 0.500 0.331 x4
Te 0.001 0.500 0.760 x4
Te 0.162 0.000 0.080 x4
Te 0.168 0.000 0.579 x4

***

No. 9
# Li2Pm3PuTe6

An optimized crystal structure of Li2Pm3PuTe6 (PBE-GGA, Alexandria).

Uncorrected formation energy = -1.2870 eV/atom

a b c (Å): 19.288 4.426 8.832
angles (deg): 90.00 103.17 90.00
Space group C2/m (No. 12)
Symmetry-distinct sites (fractional):
Li 0.175 0.000 0.349 x4
Pm 0.000 0.500 0.500 x2
Pm 0.166 0.000 0.833 x4
Pu 0.000 0.500 0.000 x2
Te 0.005 0.000 0.250 x4
Te 0.167 0.500 0.093 x4
Te 0.168 0.500 0.577 x4

***

No. 10
# LiPm2Pu3Te6

An optimized crystal structure of LiPm2Pu3Te6 (PBE-GGA, Alexandria).

Uncorrected formation energy = -1.2053 eV/atom

a b c (Å): 19.320 4.434 8.879
angles (deg): 90.00 103.19 90.00
Space group C2/m (No. 12)
Symmetry-distinct sites (fractional):
Li 0.000 0.000 0.000 x2
Pm 0.165 0.500 0.334 x4
Pu 0.000 0.000 0.500 x2
Pu 0.168 0.500 0.836 x4
Te 0.001 0.500 0.757 x4
Te 0.164 0.000 0.081 x4
Te 0.166 0.000 0.587 x4

***

No. 11
# LiPmPuZn

An optimized crystal structure of LiPmPuZn (PBE-GGA, Alexandria).

Formation enthalpy at 0 K = 0.082 eV per atom

a b c (Å): 7.307 7.307 7.307
angles (deg): 90.00 90.00 90.00
Space group F-43m (No. 216)
Symmetry-distinct sites (fractional):
Li 0.000 0.000 0.000 x4
Pm 0.250 0.250 0.250 x4
Pu 0.250 0.250 0.750 x4
Zn 0.000 0.000 0.500 x4

***

Record order is preserved below.
DOS at the Fermi energy: 41.858, 12.826, 55.393, 30.600, 38.117, 14.806, 29.483, 52.356, 31.998, 68.875, 39.473 states/eV/cell